TbWIO4: optimized geometry, GGA+U.

Values from the calculation:
raw total energy = -97.93 eV for the cell shown
total magnetic moment = 0.00 μB/f.u.

abc: 6.593 6.593 7.174
angles: 76.05 76.05 67.06
Atoms (fractional coordinates):
Tb: 0.244 0.244 0.865
Tb: 0.756 0.756 0.135
W: 0.633 0.633 0.737
W: 0.367 0.367 0.263
I: 0.016 0.016 0.248
I: 0.984 0.984 0.752
O: 0.306 0.306 0.525
O: 0.694 0.694 0.475
O: 0.112 0.497 0.152
O: 0.539 0.539 0.192
O: 0.503 0.888 0.848
O: 0.497 0.112 0.152
O: 0.461 0.461 0.808
O: 0.888 0.503 0.848